[1]
DFT (PBE-GGA) results for crystalline Tb5Nd3Ho4 at its relaxed geometry.

Output
DOS(E_F)	15.0	states/eV/cell
total moment	0.30	μB per cell
E	-52.53	eV for the cell shown
offset from the most stable computed form	253.9	meV/atom

a = 5.7429 Å, b = 9.5030 Å, c = 9.6313 Å
α = 114.07°, β = 72.65°, γ = 72.41°
With the nearest neighbours (Å) after each atom.
Atoms (fractional coordinates):
Tb 0.6739 0.7212 0.9310  2 Nd 3.32-3.61, 4 Ho 3.45-3.61, 1 Tb 3.58
Tb 0.2748 0.0694 0.3809  2 Nd 3.35-3.43, 3 Ho 3.55-3.67, 1 Tb 3.58
Tb 0.5000 0.5000 0.5000  4 Nd 2.87-2.99, 2 Ho 2.96
Tb 0.3261 0.2788 0.0690  2 Nd 3.32-3.61, 4 Ho 3.45-3.61, 1 Tb 3.58
Tb 0.7252 0.9306 0.6191  2 Nd 3.35-3.43, 3 Ho 3.55-3.67, 1 Tb 3.58
Ho 0.8373 0.1317 0.1938  1 Tb 2.96, 2 Ho 3.01-3.31
Ho 0.9477 0.2553 0.8492  1 Ho 3.31, 3 Nd 3.39-3.65, 3 Tb 3.45-3.67
Ho 0.0523 0.7447 0.1508  1 Ho 3.31, 3 Nd 3.39-3.65, 3 Tb 3.45-3.67
Ho 0.1627 0.8683 0.8062  1 Tb 2.96, 2 Ho 3.01-3.31
Nd 0.4706 0.3440 0.7147  2 Tb 2.99-3.35
Nd 0.0000 0.5000 0.5000  2 Tb 2.87
Nd 0.5294 0.6560 0.2853  2 Tb 2.99-3.35

***

[2]
DFT (PBE-GGA) results for crystalline Tb8Nd3Ho4 at its relaxed geometry.

Output
DOS(E_F)	27.9	states/eV/cell
total moment	0.00	μB per cell
E	-63.84	eV for the cell shown

a = 6.7678 Å, b = 9.2832 Å, c = 9.2832 Å
α = 86.96°, β = 111.42°, γ = 111.42°
With the nearest neighbours (Å) after each atom.
Atoms (fractional coordinates):
Nd 0.5000 0.5000 0.5000  6 Tb 3.17-3.28
Nd 0.5000 0.5000 0.0000  4 Tb 3.21-3.37, 2 Ho 3.38
Nd 0.5000 0.0000 0.5000  4 Tb 3.21-3.37, 2 Ho 3.38
Tb 0.0000 0.6434 0.3566  7 Tb 3.54-3.81, 4 Nd 3.63-3.85, 2 Ho 3.63
Tb 0.5000 0.7479 0.2521  3 Nd 3.17-3.37, 3 Ho 3.22-3.36
Tb 0.0000 0.3566 0.6434  7 Tb 3.54-3.81, 4 Nd 3.63-3.85, 2 Ho 3.63
Tb 0.4448 0.7281 0.7281  3 Nd 3.21-3.28, 4 Tb 3.23-3.54, 1 Ho 3.49
Tb 0.5552 0.2719 0.2719  3 Nd 3.21-3.28, 4 Tb 3.23-3.54, 1 Ho 3.49
Tb 0.9836 0.7440 0.7440  4 Ho 3.20-3.46, 2 Tb 3.23-3.54, 1 Nd 3.27
Tb 0.5000 0.2521 0.7479  3 Nd 3.17-3.37, 3 Ho 3.22-3.36
Tb 0.0164 0.2560 0.2560  4 Ho 3.20-3.46, 2 Tb 3.23-3.54, 1 Nd 3.27
Ho 0.0000 0.0000 0.0000  2 Ho 3.38, 4 Tb 3.39-3.70
Ho 0.0000 0.0000 0.5000  4 Tb 3.20-3.36, 2 Nd 3.38
Ho 0.0000 0.5000 0.0000  4 Tb 3.20-3.36, 2 Nd 3.38
Ho 0.5000 0.0000 0.0000  6 Tb 3.22-3.49, 2 Ho 3.38

***

[3]
DFT (PBE-GGA) results for crystalline Tb4NdHo3 at its relaxed geometry.

Output
DOS(E_F)	26.3	states/eV/cell
total moment	0.00	μB per cell
E	-73.84	eV for the cell shown
offset from the most stable computed form	0.0	meV/atom

a = 6.2910 Å, b = 7.2812 Å, c = 11.3262 Å
α = 90.00°, β = 90.00°, γ = 90.00°
With the nearest neighbours (Å) after each atom.
Atoms (fractional coordinates):
Nd 0.6474 0.6249 0.5000  6 Ho 3.52-3.64, 6 Tb 3.54-3.64
Nd 0.1474 0.3751 0.0000  6 Ho 3.52-3.64, 6 Tb 3.54-3.64
Tb 0.6490 0.1250 0.0000  6 Tb 3.51-3.65, 4 Ho 3.53-3.64, 2 Nd 3.63-3.64
Tb 0.1490 0.8750 0.5000  6 Tb 3.51-3.65, 4 Ho 3.53-3.64, 2 Nd 3.63-3.64
Tb 0.9812 0.1248 0.2519  5 Ho 3.51-3.64, 6 Tb 3.51-3.63, 1 Nd 3.54
Tb 0.4812 0.8752 0.2481  5 Ho 3.51-3.64, 6 Tb 3.51-3.63, 1 Nd 3.54
Tb 0.1469 0.8749 0.0000  6 Tb 3.51-3.65, 4 Ho 3.52-3.64, 2 Nd 3.64
Tb 0.4812 0.8752 0.7519  5 Ho 3.51-3.64, 6 Tb 3.51-3.63, 1 Nd 3.54
Tb 0.6469 0.1251 0.5000  6 Tb 3.51-3.65, 4 Ho 3.52-3.64, 2 Nd 3.64
Tb 0.9812 0.1248 0.7481  5 Ho 3.51-3.64, 6 Tb 3.51-3.63, 1 Nd 3.54
Ho 0.9809 0.6252 0.2502  2 Nd 3.52-3.53, 4 Ho 3.52-3.64, 6 Tb 3.52-3.64
Ho 0.1479 0.3749 0.5000  6 Tb 3.51-3.64, 4 Ho 3.52-3.53, 2 Nd 3.63-3.64
Ho 0.9809 0.6252 0.7498  2 Nd 3.52-3.53, 4 Ho 3.52-3.64, 6 Tb 3.52-3.64
Ho 0.6479 0.6251 0.0000  6 Tb 3.51-3.64, 4 Ho 3.52-3.53, 2 Nd 3.63-3.64
Ho 0.4809 0.3748 0.7502  2 Nd 3.52-3.53, 4 Ho 3.52-3.64, 6 Tb 3.52-3.64
Ho 0.4809 0.3748 0.2498  2 Nd 3.52-3.53, 4 Ho 3.52-3.64, 6 Tb 3.52-3.64

***

[4]
DFT (PBE-GGA) results for crystalline Tb4Nd8Ho at its relaxed geometry.

Output
DOS(E_F)	12.6	states/eV/cell
total moment	0.00	μB per cell
E	-58.79	eV for the cell shown

a = 7.3164 Å, b = 7.3162 Å, c = 10.5471 Å
α = 90.00°, β = 110.30°, γ = 120.00°
With the nearest neighbours (Å) after each atom.
Atoms (fractional coordinates):
Tb 0.0000 0.5000 0.0000  4 Nd 3.59, 6 Tb 3.66
Tb 0.5000 0.5000 0.0000  4 Nd 3.59, 6 Tb 3.66
Tb 0.5000 0.0000 0.0000  4 Nd 3.59, 6 Tb 3.66
Tb 0.0000 0.0000 0.0000  6 Nd 3.41, 6 Tb 3.66
Nd 0.4245 0.2123 0.6368  9 Nd 3.73-3.84, 3 Tb 4.10
Nd 0.5025 0.7512 0.7076  1 Ho 3.06, 2 Nd 3.32, 1 Tb 3.41
Nd 0.4975 0.2488 0.2924  1 Ho 3.06, 2 Nd 3.32, 1 Tb 3.41
Nd 0.0437 0.7949 0.2924  1 Ho 3.06, 2 Nd 3.32, 1 Tb 3.41
Nd 0.5755 0.7877 0.3632  9 Nd 3.73-3.84, 3 Tb 4.10
Nd 0.0437 0.2487 0.2924  1 Ho 3.06, 2 Nd 3.32, 1 Tb 3.41
Nd 0.9563 0.2051 0.7076  1 Ho 3.06, 2 Nd 3.32, 1 Tb 3.41
Nd 0.9563 0.7513 0.7076  1 Ho 3.06, 2 Nd 3.32, 1 Tb 3.41
Ho 0.0000 0.5000 0.5000  6 Nd 3.06

***

[5]
DFT (PBE-GGA) results for crystalline Tb5Nd12Ho2 at its relaxed geometry.

Output
DOS(E_F)	27.3	states/eV/cell
total moment	0.00	μB per cell
E	-87.67	eV for the cell shown
offset from the most stable computed form	0.0	meV/atom

a = 11.7764 Å, b = 10.7599 Å, c = 6.2574 Å
α = 100.51°, β = 90.00°, γ = 123.18°
With the nearest neighbours (Å) after each atom.
Atoms (fractional coordinates):
Nd 0.1200 0.2400 0.0012  4 Tb 3.40-3.59, 4 Nd 3.44-3.77, 2 Ho 3.47
Nd 0.0605 0.6065 0.8015  5 Nd 3.40-3.67, 3 Tb 3.46-3.73, 1 Ho 3.50
Nd 0.6469 0.7933 0.3836  1 Ho 3.35, 5 Nd 3.40-3.69, 3 Tb 3.44-3.64
Nd 0.8536 0.2067 0.6164  1 Ho 3.35, 5 Nd 3.40-3.69, 3 Tb 3.44-3.64
Nd 0.1464 0.7933 0.3836  1 Ho 3.35, 5 Nd 3.40-3.69, 3 Tb 3.44-3.64
Nd 0.3531 0.2067 0.6164  1 Ho 3.35, 5 Nd 3.40-3.69, 3 Tb 3.44-3.64
Nd 0.9395 0.3935 0.1985  5 Nd 3.40-3.67, 3 Tb 3.46-3.73, 1 Ho 3.50
Nd 0.8800 0.7600 0.9988  4 Tb 3.40-3.59, 4 Nd 3.44-3.77, 2 Ho 3.47
Nd 0.4540 0.3935 0.1985  5 Nd 3.40-3.67, 3 Tb 3.46-3.73, 1 Ho 3.50
Nd 0.5551 0.1103 0.2734  6 Nd 3.56-3.93, 2 Ho 3.64, 2 Tb 3.75-3.84
Nd 0.4449 0.8897 0.7266  6 Nd 3.56-3.93, 2 Ho 3.64, 2 Tb 3.75-3.84
Nd 0.5460 0.6065 0.8015  5 Nd 3.40-3.67, 3 Tb 3.46-3.73, 1 Ho 3.50
Tb 0.6771 0.3542 0.8585  9 Nd 3.44-3.85, 2 Tb 3.54-3.76
Tb 0.2157 0.4313 0.5536  8 Nd 3.46-3.73, 3 Tb 3.54-3.83
Tb 0.3229 0.6458 0.1415  9 Nd 3.44-3.85, 2 Tb 3.54-3.76
Tb 0.7843 0.5687 0.4464  8 Nd 3.46-3.73, 3 Tb 3.54-3.83
Tb 0.0000 0.0000 0.5000  6 Nd 3.40-3.47
Ho 0.7694 0.0000 0.0000  8 Nd 3.35-3.64
Ho 0.2306 0.0000 0.0000  8 Nd 3.35-3.64

***

[6]
DFT (PBE-GGA) results for crystalline Tb7Nd3Ho2 at its relaxed geometry.

Output
DOS(E_F)	15.2	states/eV/cell
total moment	0.00	μB per cell
E	-54.84	eV for the cell shown
offset from the most stable computed form	0.0	meV/atom

a = 3.5792 Å, b = 5.8609 Å, c = 18.8696 Å
α = 93.04°, β = 90.00°, γ = 90.00°
With the nearest neighbours (Å) after each atom.
Atoms (fractional coordinates):
Tb 0.5000 0.8081 0.8229  6 Tb 3.47-3.58, 2 Ho 3.65-3.66, 1 Nd 3.88
Tb 0.5000 0.7429 0.4630  1 Ho 3.20, 4 Tb 3.24-3.58
Tb 0.0000 0.3101 0.8558  2 Ho 3.33, 7 Tb 3.35-3.58, 2 Nd 3.40
Tb 0.5000 0.1919 0.1771  6 Tb 3.47-3.58, 2 Ho 3.65-3.66, 1 Nd 3.88
Tb 0.5000 0.2571 0.5370  1 Ho 3.20, 4 Tb 3.24-3.58
Tb 0.0000 0.0000 0.0000  4 Tb 3.35-3.58, 4 Nd 3.43
Tb 0.0000 0.6899 0.1442  2 Ho 3.33, 7 Tb 3.35-3.58, 2 Nd 3.40
Nd 0.0000 0.2207 0.3664  2 Nd 3.58, 8 Tb 3.68-3.99, 4 Ho 3.69-3.71
Nd 0.0000 0.7793 0.6336  2 Nd 3.58, 8 Tb 3.68-3.99, 4 Ho 3.69-3.71
Nd 0.5000 0.5000 0.0000  8 Tb 3.40-3.43, 2 Nd 3.58
Ho 0.5000 0.2896 0.7067  3 Tb 3.20-3.33, 2 Ho 3.58
Ho 0.5000 0.7104 0.2933  3 Tb 3.20-3.33, 2 Ho 3.58

***

[7]
DFT (PBE-GGA) results for crystalline Tb4Nd4Ho at its relaxed geometry.

Output
DOS(E_F)	12.7	states/eV/cell
total moment	0.00	μB per cell
E	-42.03	eV for the cell shown

a = 6.2429 Å, b = 6.2389 Å, c = 11.9818 Å
α = 85.18°, β = 64.27°, γ = 48.41°
With the nearest neighbours (Å) after each atom.
Atoms (fractional coordinates):
Tb 0.7203 0.1120 0.4458  6 Tb 3.59-3.62, 6 Nd 3.60-3.63
Tb 0.6089 0.5559 0.2235  3 Tb 3.59-3.62, 7 Nd 3.60-3.62, 2 Ho 3.63
Tb 0.3911 0.4441 0.7765  3 Tb 3.59-3.62, 7 Nd 3.60-3.62, 2 Ho 3.63
Tb 0.2797 0.8880 0.5542  6 Tb 3.59-3.62, 6 Nd 3.60-3.63
Nd 0.9439 0.2224 0.8892  3 Ho 3.60-3.61, 5 Tb 3.61-3.63, 4 Nd 3.61-3.62
Nd 0.0561 0.7776 0.1108  3 Ho 3.60-3.61, 5 Tb 3.61-3.63, 4 Nd 3.61-3.62
Nd 0.1669 0.3322 0.3327  8 Tb 3.60-3.62, 1 Ho 3.60, 3 Nd 3.62-3.63
Nd 0.8331 0.6679 0.6673  8 Tb 3.60-3.62, 1 Ho 3.60, 3 Nd 3.62-3.63
Ho 0.5000 0.0000 0.0000  8 Nd 3.60-3.61, 4 Tb 3.63

***

[8]
DFT (PBE-GGA) results for crystalline Tb4Nd5Ho3 at its relaxed geometry.

Output
DOS(E_F)	15.4	states/eV/cell
total moment	0.23	μB per cell
E	-53.43	eV for the cell shown

a = 5.4899 Å, b = 6.3649 Å, c = 13.3013 Å
α = 75.97°, β = 78.09°, γ = 64.45°
With the nearest neighbours (Å) after each atom.
Atoms (fractional coordinates):
Tb 0.9104 0.0496 0.1297  2 Tb 3.48-3.52, 2 Ho 3.53, 8 Nd 3.63-3.88
Tb 0.0896 0.9504 0.8703  2 Tb 3.48-3.52, 2 Ho 3.53, 8 Nd 3.63-3.88
Tb 0.7686 0.0674 0.3955  1 Nd 3.03, 1 Ho 3.31
Tb 0.2314 0.9326 0.6045  1 Nd 3.03, 1 Ho 3.31
Nd 0.5000 0.5000 0.5000  4 Ho 2.74-3.06, 2 Tb 3.03
Nd 0.3614 0.3123 0.9649  1 Ho 3.41, 4 Nd 3.54-3.70, 5 Tb 3.65-3.78
Nd 0.1708 0.4225 0.2359  4 Ho 3.48-3.64, 5 Tb 3.63-3.88, 1 Nd 3.69
Nd 0.8292 0.5775 0.7641  4 Ho 3.48-3.64, 5 Tb 3.63-3.88, 1 Nd 3.69
Nd 0.6386 0.6877 0.0351  1 Ho 3.41, 4 Nd 3.54-3.70, 5 Tb 3.65-3.78
Ho 0.0000 0.5000 0.5000  2 Nd 2.74
Ho 0.4548 0.8076 0.2829  2 Nd 3.06-3.41
Ho 0.5452 0.1924 0.7171  2 Nd 3.06-3.41